## TbPmNd5Sm2 (PBE)

Data for a relaxed structure of TbPmNd5Sm2.

Lattice parameters (Å, degrees): 8.8730 8.8730 10.1457 115.93 115.93 90.00
Last column: nearest neighbours and their distance in Å.
Positions (direct):
Nd  0.4308  0.3469  0.2777  1 Sm 3.11, 1 Tb 3.16
Nd  0.5692  0.6531  0.7223  1 Sm 3.11, 1 Tb 3.16
Nd  0.6531  0.1531  0.7223  1 Sm 3.12, 1 Tb 3.16
Nd  0.3469  0.8469  0.2777  1 Sm 3.12, 1 Tb 3.16
Nd  0.1531  0.0692  0.7223  1 Sm 3.11, 1 Tb 3.16
Nd  0.5000  0.5000  0.0000  4 Sm 3.55, 8 Nd 3.88
Nd  0.0692  0.5692  0.7223  1 Sm 3.11, 1 Tb 3.16
Nd  0.8469  0.9308  0.2777  1 Sm 3.11, 1 Tb 3.16
Nd  0.9308  0.4308  0.2777  1 Sm 3.11, 1 Tb 3.16
Nd  0.0000  0.0000  0.0000  4 Sm 3.55, 8 Nd 3.88
Sm  0.8827  0.6173  0.0000  1 Sm 2.94, 2 Nd 3.11
Sm  0.6173  0.1173  0.0000  1 Sm 2.94, 2 Nd 3.11-3.12
Sm  0.1173  0.3827  0.0000  1 Sm 2.94, 2 Nd 3.11
Sm  0.3827  0.8827  0.0000  1 Sm 2.94, 2 Nd 3.11-3.12
Tb  0.7500  0.2500  0.5000  4 Nd 3.16
Tb  0.2500  0.7500  0.5000  4 Nd 3.16
Pm  0.2500  0.2500  0.5000  10 Nd 3.64-3.99
Pm  0.7500  0.7500  0.5000  10 Nd 3.64-3.99

Computed properties:
Magnetic moment   0.00 μB/cell
E_tot   -4.463 eV per atom
Calculated formation energy   277 meV/atom

***

## Mg2Cd2In4Hg (PBE)

Data for a relaxed structure of Mg2Cd2In4Hg.

Lattice parameters (Å, degrees): 3.3020 3.3020 23.7480 90.00 90.00 120.00
Last column: nearest neighbours and their distance in Å.
Positions (direct):
Cd  0.6667  0.3333  0.4326  3 Hg 3.21, 3 In 3.25, 6 Cd 3.30
Cd  0.6667  0.3333  0.2153  1 In 2.96, 3 Hg 3.20, 6 Cd 3.30
Hg  0.0000  0.0000  0.3237  6 Cd 3.20-3.21, 6 Hg 3.30
In  0.6667  0.3333  0.8761  3 Mg 3.21, 9 In 3.30-3.37
In  0.0000  0.0000  0.7593  3 Mg 3.21, 9 In 3.30-3.37
In  0.0000  0.0000  0.5437  3 Mg 3.18, 3 Cd 3.25, 6 In 3.30
In  0.6667  0.3333  0.0908  1 Cd 2.96, 3 Mg 3.15, 6 In 3.30
Mg  0.0000  0.0000  0.9849  6 In 3.15-3.21, 6 Mg 3.30
Mg  0.6667  0.3333  0.6507  6 In 3.18-3.21, 6 Mg 3.30

Computed properties:
Magnetic moment   0.00 μB/cell
E_tot   -1.796 eV per atom
Calculated formation energy   13 meV/atom

***

## Na3TmTi2Te6 (PBE)

Data for a relaxed structure of Na3TmTi2Te6.

Lattice parameters (Å, degrees): 7.2224 7.2224 7.9804 98.73 98.73 120.35
Last column: nearest neighbours and their distance in Å.
Positions (direct):
Ti  0.6744  0.3256  0.0000  6 Te 2.83-2.91
Ti  0.3256  0.6744  0.0000  6 Te 2.83-2.91
Te  0.2828  0.2828  0.7886  2 Ti 2.91, 1 Tm 3.01, 3 Na 3.15-3.23
Te  0.0754  0.4249  0.2214  2 Ti 2.83-2.88, 1 Tm 3.03
Te  0.7172  0.7172  0.2114  2 Ti 2.91, 1 Tm 3.01, 3 Na 3.15-3.23
Te  0.5751  0.9246  0.7786  2 Ti 2.83-2.88, 1 Tm 3.03
Te  0.9246  0.5751  0.7786  2 Ti 2.83-2.88, 1 Tm 3.03
Te  0.4249  0.0754  0.2214  2 Ti 2.83-2.88, 1 Tm 3.03
Tm  0.0000  0.0000  0.0000  6 Te 3.01-3.03
Na  0.5000  0.5000  0.5000  6 Te 3.15-3.24
Na  0.1567  0.8433  0.5000  6 Te 3.19-3.27
Na  0.8433  0.1567  0.5000  6 Te 3.19-3.27

Computed properties:
Formation energy without anion corrections   -931 meV per atom
Magnetic moment   2.01 μB/cell
E_tot   -4.520 eV per atom

***

## AcPuRh (PBE)

Data for a relaxed structure of AcPuRh.

Lattice parameters (Å, degrees): 4.1367 4.1367 6.3205 90.00 90.00 120.00
Last column: nearest neighbours and their distance in Å.
Positions (direct):
Pu  0.3333  0.6667  0.5751  3 Rh 2.76
Rh  0.6667  0.3333  0.3552  3 Pu 2.76, 3 Ac 2.99
Ac  0.0000  0.0000  0.0697  3 Rh 2.99

Computed properties:
Magnetic moment   5.96 μB/cell
Offset from the most stable computed form   0.343 eV/f.u.
E_tot   -8.871 eV per atom
Calculated formation energy   -273 meV/atom

***

## CrNi2Rh (PBE)

Data for a relaxed structure of CrNi2Rh.

Lattice parameters (Å, degrees): 2.5783 3.6336 5.1009 90.00 90.00 90.00
Last column: nearest neighbours and their distance in Å.
Positions (direct):
Rh  0.5000  0.5000  0.2500  2 Cr 2.55, 2 Rh 2.58, 8 Ni 2.60
Ni  0.0000  0.0000  0.5129  4 Ni 2.42-2.68, 4 Cr 2.53, 4 Rh 2.60
Ni  0.0000  0.0000  0.9871  4 Ni 2.42-2.68, 4 Cr 2.53, 4 Rh 2.60
Cr  0.5000  0.5000  0.7500  8 Ni 2.53, 2 Rh 2.55, 2 Cr 2.58

Computed properties:
Magnetic moment   0.65 μB/cell
E_tot   -7.098 eV per atom
Calculated formation energy   37 meV/atom

***

## CaZn2GaAu4 (PBE)

Data for a relaxed structure of CaZn2GaAu4.

Lattice parameters (Å, degrees): 4.5146 4.5146 9.0403 75.54 75.54 60.00
Last column: nearest neighbours and their distance in Å.
Positions (direct):
Au  0.6031  0.6031  0.1907  3 Zn 2.65, 1 Ga 2.68
Au  0.3969  0.3969  0.8093  3 Zn 2.65, 1 Ga 2.68
Au  0.8705  0.8705  0.3886  3 Ga 2.78, 3 Zn 2.89
Au  0.1295  0.1295  0.6114  3 Ga 2.78, 3 Zn 2.89
Zn  0.7483  0.7483  0.7551  6 Au 2.65-2.89
Zn  0.2517  0.2517  0.2449  6 Au 2.65-2.89
Ca  0.0000  0.0000  0.0000  8 Au 3.09-3.36, 6 Zn 3.36
Ga  0.5000  0.5000  0.5000  8 Au 2.68-2.78

Computed properties:
Magnetic moment   0.00 μB/cell
E_tot   -2.936 eV per atom
Calculated formation energy   -350 meV/atom

***

## As2IrRu2 (PBE)

Data for a relaxed structure of As2IrRu2.

Lattice parameters (Å, degrees): 3.7504 3.7504 6.2692 72.60 72.60 90.00
Last column: nearest neighbours and their distance in Å.
Positions (direct):
As  0.7500  0.2500  0.5000  4 Ru 2.47, 4 As 2.65
As  0.2500  0.7500  0.5000  4 Ru 2.47, 4 As 2.65
Ru  0.6085  0.6085  0.7830  1 Ru 2.47, 4 As 2.47
Ru  0.3915  0.3915  0.2170  1 Ru 2.47, 4 As 2.47
Ir  0.0000  0.0000  0.0000  8 Ru 2.92

Computed properties:
Magnetic moment   0.00 μB/cell
Offset from the most stable computed form   1.128 eV/f.u.
E_tot   -6.968 eV per atom
Calculated formation energy   374 meV/atom

***

## BPt (PBE)

Data for a relaxed structure of BPt.

Lattice parameters (Å, degrees): 3.5497 5.0774 10.1095 90.00 90.00 90.00
Last column: nearest neighbours and their distance in Å.
Positions (direct):
B  0.5000  0.1410  0.8558  4 Pt 2.04-2.13
B  0.0000  0.6325  0.0000  4 Pt 2.07-2.08
B  0.5000  0.1410  0.1442  4 Pt 2.04-2.13
B  0.0000  0.8590  0.6442  4 Pt 2.04-2.13
B  0.0000  0.8590  0.3558  4 Pt 2.04-2.13
B  0.5000  0.3675  0.5000  4 Pt 2.07-2.08
Pt  0.0000  0.5781  0.5000  4 B 2.04-2.07
Pt  0.0000  0.9185  0.1470  4 B 2.08-2.13
Pt  0.5000  0.4219  0.0000  4 B 2.04-2.07
Pt  0.5000  0.0815  0.6470  4 B 2.08-2.13
Pt  0.5000  0.0815  0.3530  4 B 2.08-2.13
Pt  0.0000  0.9185  0.8530  4 B 2.08-2.13

Computed properties:
Magnetic moment   0.00 μB/cell
E_tot   -6.323 eV per atom
Calculated formation energy   37 meV/atom

***

Look up the E_tot of the fourth one. -8.871 eV per atom

***

What is the magnetic moment in the eighth record? 0.00 μB/cell

***

Copy entry 7 word for word.
## As2IrRu2 (PBE)

Data for a relaxed structure of As2IrRu2.

Lattice parameters (Å, degrees): 3.7504 3.7504 6.2692 72.60 72.60 90.00
Last column: nearest neighbours and their distance in Å.
Positions (direct):
As  0.7500  0.2500  0.5000  4 Ru 2.47, 4 As 2.65
As  0.2500  0.7500  0.5000  4 Ru 2.47, 4 As 2.65
Ru  0.6085  0.6085  0.7830  1 Ru 2.47, 4 As 2.47
Ru  0.3915  0.3915  0.2170  1 Ru 2.47, 4 As 2.47
Ir  0.0000  0.0000  0.0000  8 Ru 2.92

Computed properties:
Magnetic moment   0.00 μB/cell
Offset from the most stable computed form   1.128 eV/f.u.
E_tot   -6.968 eV per atom
Calculated formation energy   374 meV/atom